No. 1
Entry from the Alexandria database: crystalline NdTh4N5 at its relaxed geometry (PBE).

## Properties
**Formation energy from raw total energies**: -1.5469 eV/atom
**Crystal system**: tetragonal
**E_tot**: -91.543 eV per formula unit

Lattice parameters (Å, degrees): 5.1812 6.3335 6.3335 80.37 65.86 65.86
Element x y z (fractional)
Nd: 0.0011 0.0000 0.0000
Th: 0.7998 0.8020 0.6004
Th: 0.6018 0.6004 0.1980
Th: 0.4002 0.3996 0.8020
Th: 0.2022 0.1980 0.3996
N: 0.8988 0.4092 0.7951
N: 0.5010 0.0000 0.0000
N: 0.3081 0.7951 0.5908
N: 0.1032 0.5908 0.2049
N: 0.6940 0.2049 0.4092



No. 2
Entry from the Alexandria database: crystalline Nd2ThN3 at its relaxed geometry (PBE).

## Properties
**Formation energy from raw total energies**: -1.4895 eV/atom
**Crystal system**: orthorhombic
**E_tot**: -50.869 eV per formula unit
**Energy above the lowest structure with this stoichiometry**: 0.000 eV per atom

Lattice parameters (Å, degrees): 3.6628 5.1672 6.3268 114.10 106.83 90.00
Element x y z (fractional)
Nd: 0.1672 0.1672 0.8344
Nd: 0.8328 0.8328 0.1656
N: 0.1568 0.6568 0.8136
N: 0.8432 0.3432 0.1864
N: 0.5000 0.0000 0.5000
Th: 0.5000 0.5000 0.5000



No. 3
Entry from the Alexandria database: crystalline NdTh3N4 at its relaxed geometry (PBE).

## Properties
**Formation energy from raw total energies**: -1.5358 eV/atom
**Crystal system**: cubic
**E_tot**: -72.615 eV per formula unit
**Energy above the lowest structure with this stoichiometry**: 0.004 eV per atom

Lattice parameters (Å, degrees): 5.1697 5.1697 5.1697 90.00 90.00 90.00
Element x y z (fractional)
N: 0.0000 0.5000 0.0000
N: 0.5000 0.0000 0.0000
N: 0.0000 0.0000 0.5000
N: 0.5000 0.5000 0.5000
Nd: 0.0000 0.0000 0.0000
Th: 0.0000 0.5000 0.5000
Th: 0.5000 0.0000 0.5000
Th: 0.5000 0.5000 0.0000



No. 4
Entry from the Alexandria database: crystalline NdThN2 at its relaxed geometry (PBE).

## Properties
**Formation energy from raw total energies**: -1.4932 eV/atom
**Crystal system**: hexagonal
**E_tot**: -34.811 eV per formula unit

Lattice parameters (Å, degrees): 3.6504 3.6504 12.0175 90.00 90.00 120.00
Element x y z (fractional)
Th: 0.0000 0.0000 0.5000
Th: 0.0000 0.0000 0.0000
N: 0.6667 0.3333 0.6149
N: 0.3333 0.6667 0.1149
N: 0.6667 0.3333 0.8851
N: 0.3333 0.6667 0.3851
Nd: 0.3333 0.6667 0.7500
Nd: 0.6667 0.3333 0.2500



No. 5
Entry from the Alexandria database: crystalline Nd3ThN4 at its relaxed geometry (PBE).

## Properties
**Formation energy from raw total energies**: -1.4451 eV/atom
**Crystal system**: cubic
**E_tot**: -66.586 eV per formula unit
**Energy above the lowest structure with this stoichiometry**: 0.021 eV per atom

Lattice parameters (Å, degrees): 5.1637 5.1637 5.1637 90.00 90.00 90.00
Element x y z (fractional)
Nd: 0.5000 0.0000 0.5000
Nd: 0.0000 0.5000 0.5000
Nd: 0.5000 0.5000 0.0000
Th: 0.0000 0.0000 0.0000
N: 0.5000 0.0000 0.0000
N: 0.0000 0.0000 0.5000
N: 0.0000 0.5000 0.0000
N: 0.5000 0.5000 0.5000



No. 6
Entry from the Alexandria database: crystalline Nd5Th2N5 at its relaxed geometry (PBE).

## Properties
**Formation energy from raw total energies**: -0.9689 eV/atom
**Crystal system**: monoclinic
**E_tot**: -91.932 eV per formula unit

Lattice parameters (Å, degrees): 3.5517 6.3075 12.3521 107.51 90.00 106.35
Element x y z (fractional)
Nd: 0.3478 0.6956 0.9372
Nd: 0.2725 0.5451 0.6245
Nd: 0.6522 0.3044 0.0628
Nd: 0.5000 0.0000 0.5000
Nd: 0.7275 0.4549 0.3755
N: 0.8815 0.7630 0.5738
N: 0.0000 0.0000 0.0000
N: 0.6662 0.3325 0.8733
N: 0.1185 0.2370 0.4262
N: 0.3338 0.6675 0.1267
Th: 0.9588 0.9176 0.2111
Th: 0.0412 0.0824 0.7889



No. 7
Entry from the Alexandria database: crystalline Nd2ThN3 at its relaxed geometry (PBE).

## Properties
**Formation energy from raw total energies**: -1.1522 eV/atom
**Crystal system**: monoclinic
**E_tot**: -48.845 eV per formula unit
**Energy above the lowest structure with this stoichiometry**: 0.337 eV per atom

Lattice parameters (Å, degrees): 3.5969 7.1978 8.8285 108.21 90.00 104.47
Element x y z (fractional)
Nd: 0.3292 0.6584 0.1626
Nd: 0.1700 0.3400 0.3349
Nd: 0.6708 0.3416 0.8374
Nd: 0.8300 0.6600 0.6651
N: 0.6299 0.2599 0.5283
N: 0.9755 0.9509 0.1916
N: 0.3701 0.7401 0.4717
N: 0.3111 0.6222 0.8625
N: 0.0245 0.0491 0.8084
N: 0.6889 0.3778 0.1375
Th: 0.5000 0.0000 0.0000
Th: 0.0000 0.0000 0.5000



No. 8
Entry from the Alexandria database: crystalline Nd8ThN6 at its relaxed geometry (PBE).

## Properties
**Formation energy from raw total energies**: -1.1115 eV/atom
**Crystal system**: trigonal
**E_tot**: -112.187 eV per formula unit

Lattice parameters (Å, degrees): 6.3445 6.3445 9.9977 71.50 71.50 60.00
Site moments in Bohr magnetons follow the coordinates.
Element x y z (fractional)
Nd: 0.8980 0.2370 0.3063  0.07
Nd: 0.3334 0.3334 0.9999  0.02
Nd: 0.4414 0.1020 0.6937  0.07
Nd: 0.1020 0.7630 0.6937  0.07
Nd: 0.5586 0.8980 0.3063  0.07
Nd: 0.2370 0.5586 0.3063  0.07
Nd: 0.6666 0.6666 0.0001  0.02
Nd: 0.7630 0.4414 0.6937  0.07
N: 0.2683 0.9445 0.1659  0.00
N: 0.9445 0.6213 0.1659  0.00
N: 0.6213 0.2683 0.1659  0.00
N: 0.3787 0.7317 0.8341  0.00
N: 0.7317 0.0555 0.8341  0.00
N: 0.0555 0.3787 0.8341  0.00
Th: 0.0000 0.0000 0.0000  0.02



No. 9
Entry from the Alexandria database: crystalline Nd2Th3N4 at its relaxed geometry (PBE).

## Properties
**Formation energy from raw total energies**: -1.3068 eV/atom
**Crystal system**: monoclinic
**E_tot**: -76.857 eV per formula unit

Lattice parameters (Å, degrees): 3.6515 6.4103 8.1821 75.56 77.11 73.45
Element x y z (fractional)
Nd: 0.3903 0.8284 0.3909
Nd: 0.6097 0.1716 0.6091
Th: 0.7993 0.5996 0.8019
Th: 0.0000 0.0000 0.0000
Th: 0.2007 0.4004 0.1981
N: 0.2067 0.8764 0.7101
N: 0.3926 0.3026 0.9122
N: 0.7933 0.1236 0.2899
N: 0.6074 0.6974 0.0878



No. 10
Entry from the Alexandria database: crystalline Nd3Th4N8 at its relaxed geometry (PBE).

## Properties
**Formation energy from raw total energies**: -1.3294 eV/atom
**Crystal system**: monoclinic
**E_tot**: -130.527 eV per formula unit

Lattice parameters (Å, degrees): 7.3214 7.2743 7.2743 90.61 119.58 119.58
Element x y z (fractional)
Nd: 0.5000 0.5000 0.5000
Nd: 0.5000 0.5000 0.0000
Nd: 0.5000 0.0000 0.5000
N: 0.0000 0.7665 0.2335
N: 0.0115 0.7699 0.7699
N: 0.0000 0.2335 0.7665
N: 0.5000 0.7518 0.2482
N: 0.4609 0.2209 0.2209
N: 0.5391 0.7791 0.7791
N: 0.9885 0.2301 0.2301
N: 0.5000 0.2482 0.7518
Th: 0.0000 0.0000 0.0000
Th: 0.5000 0.0000 0.0000
Th: 0.0000 0.5000 0.0000
Th: 0.0000 0.0000 0.5000



No. 11
Entry from the Alexandria database: crystalline NdTh4N4 at its relaxed geometry (PBE).

## Properties
**Formation energy from raw total energies**: -1.3227 eV/atom
**Crystal system**: monoclinic
**E_tot**: -79.653 eV per formula unit

Lattice parameters (Å, degrees): 5.1683 6.3513 6.3500 80.38 65.99 65.99
Element x y z (fractional)
N: 0.6894 0.2095 0.4118
N: 0.1016 0.5880 0.2088
N: 0.8984 0.4120 0.7912
N: 0.3106 0.7905 0.5882
Th: 0.3920 0.4162 0.7997
Th: 0.8086 0.7995 0.5834
Th: 0.1914 0.2005 0.4166
Th: 0.6080 0.5838 0.2003
Nd: 0.0000 0.0000 0.0000



No. 12
Entry from the Alexandria database: crystalline Nd5ThN5 at its relaxed geometry (PBE).

## Properties
**Formation energy from raw total energies**: -1.2871 eV/atom
**Crystal system**: monoclinic
**E_tot**: -87.044 eV per formula unit

Lattice parameters (Å, degrees): 5.1810 6.3490 7.3111 106.92 90.00 114.08
Element x y z (fractional)
N: 0.1649 0.3299 0.8367
N: 0.1614 0.3229 0.3258
N: 0.5000 0.0000 0.0000
N: 0.8351 0.6701 0.1633
N: 0.8386 0.6771 0.6742
Nd: 0.3234 0.6468 0.6704
Nd: 0.6766 0.3532 0.3296
Nd: 0.0000 0.0000 0.5000
Nd: 0.3287 0.6575 0.1567
Nd: 0.6713 0.3425 0.8433
Th: 0.0000 0.0000 0.0000



What did the fifth record say?
Entry from the Alexandria database: crystalline Nd3ThN4 at its relaxed geometry (PBE).

## Properties
**Formation energy from raw total energies**: -1.4451 eV/atom
**Crystal system**: cubic
**E_tot**: -66.586 eV per formula unit
**Energy above the lowest structure with this stoichiometry**: 0.021 eV per atom

Lattice parameters (Å, degrees): 5.1637 5.1637 5.1637 90.00 90.00 90.00
Element x y z (fractional)
Nd: 0.5000 0.0000 0.5000
Nd: 0.0000 0.5000 0.5000
Nd: 0.5000 0.5000 0.0000
Th: 0.0000 0.0000 0.0000
N: 0.5000 0.0000 0.0000
N: 0.0000 0.0000 0.5000
N: 0.0000 0.5000 0.0000
N: 0.5000 0.5000 0.5000



Question: Which value of E_tot does entry 7 give?
Answer: -48.845 eV per formula unit



Question: Which of these has the highest formation energy from raw total energies?
Answer: Nd5Th2N5